Entry 1:
An optimized crystal structure of UMn4Ir. Source: Alexandria via LeMat-Bulk, functional PBE.

a = 4.902 Å, b = 4.902 Å, c = 4.902 Å
α = 60.00°, β = 60.00°, γ = 60.00°
Last column: magnetic moment on the atom in μB.
Positions (direct):
1 Mn 0.627 0.627 0.120  1.56
2 U 0.250 0.250 0.250  0.72
3 Mn 0.627 0.120 0.627  1.56
4 Ir 0.000 0.000 0.000  0.12
5 Mn 0.120 0.627 0.627  1.56
6 Mn 0.627 0.627 0.627  1.56

Properties
- formation energy (kJ per mole of atoms) = 8
- M_tot (μB/cell) = 7.4
- final energy (eV/atom) = -9.383

=====

Entry 2:
An optimized crystal structure of CaPt2. Source: Alexandria via LeMat-Bulk, functional PBE.

a = 8.207 Å, b = 2.972 Å, c = 9.652 Å
α = 90.00°, β = 89.29°, γ = 90.00°
Positions (direct):
1 Pt 0.697 0.500 0.793
2 Ca 0.261 0.500 0.185
3 Pt 0.498 0.000 0.327
4 Pt 0.005 0.000 0.344
5 Pt 0.553 0.000 0.041
6 Ca 0.989 0.000 0.649
7 Pt 0.490 0.000 0.609
8 Pt 0.752 0.500 0.506
9 Ca 0.899 0.000 0.999
10 Ca 0.351 0.500 0.834
11 Pt 0.760 0.500 0.224
12 Pt 0.245 0.500 0.489

Properties
- formation energy (kJ per mole of atoms) = -38
- M_tot (μB/cell) = 0.0
- final energy (eV/atom) = -5.084

=====

Q: Among the records above, which one has the lowest M_tot?
A: CaPt2